No. 1
The following is a GGA-PBEsol calculation of a relaxed InTcAu2 crystal, from the Alexandria database.

## Properties
ΔE_f = 261 meV/atom
total DFT energy (no corrections) = -5.2637 eV per atom
total magnetization = 0.06 μB/f.u.
crystal system = tetragonal
DOS(E_F) = 0.767 states/eV/atom

Lattice parameters (Å, degrees): 2.8959 2.8959 8.0864 90.00 90.00 90.00
Each line ends with the local moment (μB).
Element x y z (fractional)
Au 0.0000 0.0000 0.7358  0.00
Tc 0.5000 0.5000 0.5000  0.06
In 0.5000 0.5000 0.0000  0.00
Au 0.0000 0.0000 0.2642  0.00

No. 2
The following is a GGA-PBEsol calculation of a relaxed InTcAu2 crystal, from the Alexandria database.

## Properties
ΔE_f = 316 meV/atom
total DFT energy (no corrections) = -5.2088 eV per atom
total magnetization = 1.14 μB/f.u.
crystal system = cubic
DOS(E_F) = 1.086 states/eV/atom

Lattice parameters (Å, degrees): 4.5801 4.5801 4.5801 60.00 60.00 60.00
Each line ends with the local moment (μB).
Element x y z (fractional)
In 0.5000 0.5000 0.5000  -0.02
Tc 0.2500 0.2500 0.2500  1.05
Au 0.0000 0.0000 0.0000  0.05
Au 0.7500 0.7500 0.7500  0.01

No. 3
The following is a GGA-PBEsol calculation of a relaxed InTeAu2 crystal, from the Alexandria database.

## Properties
total DFT energy (no corrections) = -3.5200 eV per atom
total magnetization = 0.00 μB/f.u.
crystal system = tetragonal
ΔE_f (raw) = 69 meV/atom
DOS(E_F) = 0.450 states/eV/atom
distance to the lowest polymorph of the same formula = 158 meV per atom

Lattice parameters (Å, degrees): 3.8230 3.8230 5.8212 90.00 90.00 90.00
Element x y z (fractional)
Te 0.5000 0.5000 0.5000
In 0.5000 0.5000 0.0000
Au 0.0000 0.0000 0.2430
Au 0.0000 0.0000 0.7570

No. 4
The following is a GGA-PBEsol calculation of a relaxed InTe2Au crystal, from the Alexandria database.

## Properties
total DFT energy (no corrections) = -3.6455 eV per atom
total magnetization = 0.00 μB/f.u.
crystal system = trigonal
ΔE_f (raw) = -156 meV/atom
DOS(E_F) = 0.526 states/eV/atom

Lattice parameters (Å, degrees): 4.1779 4.1779 7.2121 73.16 73.16 60.00
Element x y z (fractional)
Au 0.5000 0.5000 0.5000
Te 0.7568 0.7568 0.7296
Te 0.2432 0.2432 0.2704
In 0.0000 0.0000 0.0000

No. 5
The following is a GGA-PBEsol calculation of a relaxed InTeAu2 crystal, from the Alexandria database.

## Properties
total DFT energy (no corrections) = -3.4770 eV per atom
total magnetization = 0.00 μB/f.u.
crystal system = tetragonal
ΔE_f (raw) = 112 meV/atom
DOS(E_F) = 0.570 states/eV/atom
distance to the lowest polymorph of the same formula = 201 meV per atom

Lattice parameters (Å, degrees): 3.1999 3.1999 8.3842 90.00 90.00 90.00
Element x y z (fractional)
Au 0.5000 0.5000 0.2380
Te 0.5000 0.5000 0.7799
Au 0.0000 0.0000 0.0269
In 0.0000 0.0000 0.4552

No. 6
The following is a GGA-PBEsol calculation of a relaxed InTeAu2 crystal, from the Alexandria database.

## Properties
total DFT energy (no corrections) = -3.6784 eV per atom
total magnetization = 0.00 μB/f.u.
crystal system = tetragonal
ΔE_f (raw) = -89 meV/atom
DOS(E_F) = 0.328 states/eV/atom
distance to the lowest polymorph of the same formula = 0 meV per atom

Lattice parameters (Å, degrees): 3.9874 3.9874 5.7220 90.00 90.00 90.00
Element x y z (fractional)
Au 0.5000 0.5000 0.0000
Au 0.0000 0.0000 0.5000
In 0.0000 0.0000 0.0000
Te 0.5000 0.5000 0.5000